# GGA+U ScMoI2O, relaxed
# **Energy above the most stable polymorph in this dataset**: 0.000 eV per atom
# **Space group**: P4/mmm
# **Magnetic moment**: 5.0 Bohr magnetons per cell
data_ScMoI2O
_chemical_formula_sum 'Sc1 Mo1 I2 O1'
_space_group_name_H-M_alt 'P 1'
_space_group_IT_number 1
_space_group_name_Hall 'P 1'
_cell_length_a 5.985
_cell_length_b 5.985
_cell_length_c 3.899
_cell_angle_alpha 90.00
_cell_angle_beta 90.00
_cell_angle_gamma 90.00
loop_
_atom_site_label
_atom_site_type_symbol
_atom_site_fract_x
_atom_site_fract_y
_atom_site_fract_z
I1 I 0.000 0.500 0.000
I2 I 0.500 0.000 0.000
Sc1 Sc 0.000 0.000 0.000
Mo1 Mo 0.500 0.500 0.500
O1 O 0.000 0.000 0.500